No. 1
Here is ZrCuPb after structural relaxation from Alexandria. Energies are from PBE.

Results
Space group: P3m1
Total DFT energy (no corrections) (eV/atom): -5.476

Cell: 4.5362 4.5362 3.4022 Å, 90.00 90.00 120.00°
Fractional coordinates of all 3 atoms:
Pb 0.6667 0.3333 0.2218
Cu 0.0000 0.0000 0.0839
Zr 0.3333 0.6667 0.6944

No. 2
Here is AlP2Se after structural relaxation from Alexandria. Energies are from PBE.

Results
Space group: Pm
Offset from the most stable computed form (meV/atom): 95
Total DFT energy (no corrections) (eV/atom): -4.580

Cell: 4.0228 4.0778 5.6208 Å, 77.07 90.00 90.00°
Fractional coordinates of all 4 atoms:
Se 0.0000 0.6869 0.5491
Al 0.5000 0.7414 0.8010
P 0.5000 0.1652 0.0355
P 0.0000 0.9065 0.1145

No. 3
Here is Ac2In12Au after structural relaxation from Alexandria. Energies are from PBE.

Results
Space group: P4/nbm
Total DFT energy (no corrections) (eV/atom): -3.199

Cell: 6.9555 6.9555 17.4727 Å, 90.00 90.00 90.00°
Fractional coordinates of all 30 atoms:
In 0.2504 0.7504 0.9127
In 0.5000 0.5000 0.6562
In 0.5000 0.5000 0.3438
In 0.3343 0.1657 0.5698
Au 0.5000 0.0000 0.0000
Ac 0.0000 0.5000 0.7536
Ac 0.0000 0.5000 0.2464
Ac 0.5000 0.0000 0.2464
In 0.1657 0.6657 0.5698
In 0.5000 0.5000 0.1839
In 0.2496 0.2504 0.9127
In 0.7496 0.2496 0.9127
In 0.0000 0.0000 0.6562
In 0.2504 0.2496 0.0873
In 0.8343 0.6657 0.4302
In 0.6657 0.8343 0.5698
In 0.2496 0.7496 0.0873
In 0.7504 0.2504 0.0873
In 0.1657 0.3343 0.4302
In 0.7504 0.7496 0.9127
Au 0.0000 0.5000 0.0000
In 0.7496 0.7504 0.0873
In 0.0000 0.0000 0.3438
In 0.5000 0.5000 0.8162
In 0.0000 0.0000 0.1839
Ac 0.5000 0.0000 0.7536
In 0.0000 0.0000 0.8162
In 0.8343 0.3343 0.5698
In 0.6657 0.1657 0.4302
In 0.3343 0.8343 0.4302

No. 4
Here is Ca3Ag5O12 after structural relaxation from Alexandria. Energies are from PBE.

Results
Space group: Ia-3d
Total DFT energy (no corrections) (eV/atom): -4.645

Cell: 11.3761 11.3761 11.3761 Å, 109.47 109.47 109.47°
Fractional coordinates of all 80 atoms:
O 0.2038 0.5389 0.6303
O 0.9085 0.0734 0.8697
O 0.9611 0.3697 0.2962
O 0.9266 0.0915 0.6303
O 0.4611 0.6649 0.0915
Ag 0.5000 0.0000 0.5000
O 0.2962 0.8697 0.9611
Ca 0.6250 0.3750 0.7500
Ag 0.0000 0.0000 0.5000
Ag 0.3750 0.2500 0.1250
Ag 0.0000 0.0000 0.0000
O 0.9266 0.8351 0.7962
O 0.5389 0.3351 0.9085
Ca 0.2500 0.1250 0.3750
O 0.5734 0.8697 0.4085
O 0.4611 0.7962 0.8697
O 0.2962 0.4266 0.8351
O 0.7962 0.4611 0.3697
Ca 0.2500 0.6250 0.8750
O 0.6649 0.2038 0.5734
Ag 0.0000 0.5000 0.5000
O 0.1649 0.0915 0.9611
O 0.3351 0.5389 0.4085
Ag 0.0000 0.5000 0.0000
Ag 0.1250 0.3750 0.2500
Ca 0.1250 0.8750 0.7500
O 0.0734 0.1649 0.2038
O 0.8697 0.2962 0.4611
Ca 0.7500 0.3750 0.1250
Ag 0.2500 0.8750 0.1250
O 0.0389 0.6303 0.7038
O 0.4266 0.2962 0.3351
O 0.6649 0.4611 0.5915
Ag 0.7500 0.1250 0.8750
Ag 0.7500 0.6250 0.3750
Ag 0.6250 0.7500 0.8750
Ca 0.1250 0.2500 0.8750
Ag 0.2500 0.3750 0.6250
O 0.1303 0.7038 0.5389
O 0.0389 0.4085 0.8351
O 0.4266 0.1303 0.5915
Ca 0.7500 0.8750 0.6250
O 0.5915 0.6303 0.4266
Ca 0.3750 0.6250 0.2500
O 0.0915 0.9266 0.1303
O 0.8697 0.5734 0.9085
O 0.4085 0.3697 0.5734
Ag 0.8750 0.2500 0.6250
Ca 0.8750 0.1250 0.2500
O 0.9085 0.8351 0.5389
Ag 0.5000 0.5000 0.0000
O 0.0734 0.9085 0.3697
O 0.6303 0.5915 0.9266
O 0.1649 0.0734 0.7038
O 0.0915 0.1649 0.4611
O 0.3697 0.9611 0.7962
Ag 0.1250 0.7500 0.3750
O 0.5734 0.7038 0.6649
Ag 0.6250 0.8750 0.2500
O 0.9611 0.5915 0.1649
Ag 0.5000 0.0000 0.0000
O 0.8351 0.9085 0.0389
O 0.3351 0.7962 0.4266
O 0.3697 0.4085 0.0734
Ca 0.6250 0.2500 0.3750
O 0.7038 0.5734 0.1649
O 0.5389 0.2038 0.1303
O 0.1303 0.4266 0.0915
O 0.5915 0.9611 0.6649
Ag 0.3750 0.1250 0.7500
Ca 0.3750 0.7500 0.6250
O 0.2038 0.6649 0.0734
Ag 0.5000 0.5000 0.5000
Ca 0.8750 0.7500 0.1250
O 0.4085 0.0389 0.3351
O 0.8351 0.9266 0.2962
O 0.7962 0.3351 0.9266
O 0.7038 0.1303 0.0389
O 0.6303 0.0389 0.2038
Ag 0.8750 0.6250 0.7500